# 1
VASP calculation (PBE) on a relaxed structure of PmAlGa2.

energy relative to the elements	-0.48	eV/atom
E above lowest polymorph	67	meV per atom
DOS(E_F)	0.31	states/eV/atom
spin magnetization	0.00	Bohr magnetons per cell

Unit cell a=4.379 b=4.379 c=4.278 alpha=90.00 beta=90.00 gamma=90.00
Fractional coordinates of all 4 atoms:
Pm (0.000, 0.000, 0.000)
Al (0.500, 0.500, 0.000)
Ga (0.000, 0.500, 0.500)
Ga (0.500, 0.000, 0.500)

***

# 2
VASP calculation (PBE) on a relaxed structure of Pm2AlGa.

energy relative to the elements	-0.47	eV/atom
DOS(E_F)	0.41	states/eV/atom
spin magnetization	0.00	Bohr magnetons per cell

Unit cell a=3.681 b=3.681 c=7.391 alpha=90.00 beta=90.00 gamma=90.00
Fractional coordinates of all 4 atoms:
Pm (0.000, 0.000, 0.247)
Pm (0.000, 0.000, 0.753)
Al (0.500, 0.500, 0.500)
Ga (0.500, 0.500, 0.000)

***

# 3
VASP calculation (PBE) on a relaxed structure of Pm2AlGa2.

energy relative to the elements	-0.55	eV/atom
E above lowest polymorph	42	meV per atom
DOS(E_F)	0.80	states/eV/atom
spin magnetization	0.00	Bohr magnetons per cell

Unit cell a=4.202 b=5.959 c=9.356 alpha=90.00 beta=90.00 gamma=90.00
Fractional coordinates of all 10 atoms:
Pm (0.000, 0.000, 0.210)
Pm (0.000, 0.000, 0.790)
Pm (0.500, 0.500, 0.290)
Pm (0.500, 0.500, 0.710)
Al (0.000, 0.500, 0.000)
Al (0.500, 0.000, 0.500)
Ga (0.000, 0.273, 0.500)
Ga (0.000, 0.727, 0.500)
Ga (0.500, 0.227, 0.000)
Ga (0.500, 0.773, 0.000)